Entry from Alexandria via LeMat-Bulk: an optimized crystal structure of Rb2HfMn2O6 (PBE+U).

The value obtained for the total energy is -155.7 eV/cell.

The space group is C2/m (No. 12) and the conventional cell measures 10.634, 5.848 and 6.915 Å, with angles of 90.00, 117.21 and 90.00 degrees. Symmetry generates all atoms from Rb at (0.203, 0.000, 0.124), Hf at (0.000, 0.000, 0.500), Mn at (0.094, 0.500, 0.313), O at (0.020, 0.250, 0.730) and O at (0.221, 0.000, 0.638).